1.
# PmPRh2

A relaxed PmPRh2 crystal (PBE-GGA, Alexandria via LeMat-Bulk).

Results
Total energy = -6.976 eV per atom
DFT formation energy = -3.041 eV per formula unit

Cell lengths 5.556, 7.265, 3.991 Å; angles 90.00, 90.00, 90.00 degrees
Space group Cmmm (No. 65)
Inequivalent atoms, fractional coordinates:
Pm (0.000, 0.000, 0.000)
P (0.000, 0.500, 0.500)
Rh (0.250, 0.250, 0.500)



2.
# Nd2H2SBr

A relaxed Nd2H2SBr crystal (PBE-GGA, Alexandria via LeMat-Bulk).

Results
Total energy = -4.963 eV per atom

Cell lengths 3.9455, 3.9455, 8.3729 Å; angles 90.00, 90.00, 120.00 degrees
Space group P-3m1 (No. 164)
Inequivalent atoms, fractional coordinates:
Nd (0.3333, 0.6667, 0.2100)
H (0.3333, 0.6667, 0.7527)
S (0.0000, 0.0000, 0.0000)
Br (0.0000, 0.0000, 0.5000)



3.
# SrPm2NpN4

A relaxed SrPm2NpN4 crystal (PBE-GGA, Alexandria via LeMat-Bulk).

Results
Formation energy (no corrections) = -983 meV per atom
Total energy = -8.161 eV per atom

Cell lengths 3.640, 12.541, 12.755 Å; angles 90.00, 90.00, 90.00 degrees
Space group Cmcm (No. 63)
Inequivalent atoms, fractional coordinates:
Sr (0.000, 0.135, 0.250)
Pm (0.000, 0.370, 0.023)
Np (0.000, 0.132, 0.750)
N (0.000, 0.000, 0.000)
N (0.000, 0.244, 0.620)
N (0.000, 0.465, 0.250)



4.
# PmGe2Ir

A relaxed PmGe2Ir crystal (PBE-GGA, Alexandria via LeMat-Bulk).

Results
Excess energy over the best structure of this formula in the dataset = 0.464 eV per atom
Total energy = -6.057 eV per atom
DFT formation energy = -1.380 eV per formula unit

Cell lengths 4.224, 4.224, 4.318 Å; angles 90.00, 90.00, 90.00 degrees
Space group P4/mmm (No. 123)
Inequivalent atoms, fractional coordinates:
Pm (0.000, 0.000, 0.000)
Ge (0.000, 0.500, 0.500)
Ir (0.500, 0.500, 0.000)



5.
# Mg2Si3

A relaxed Mg2Si3 crystal (PBE-GGA, Alexandria via LeMat-Bulk).

Results
Excess energy over the best structure of this formula in the dataset = 0.020 eV per atom
Formation energy (no corrections) = 49 meV per atom
Total energy = -3.842 eV per atom

Cell lengths 4.368, 5.319, 8.630 Å; angles 85.63, 77.68, 66.61 degrees
Space group P-1 (No. 2)
Inequivalent atoms, fractional coordinates:
Mg (0.105, 0.221, 0.103)
Mg (0.318, 0.181, 0.698)
Si (0.099, 0.764, 0.543)
Si (0.343, 0.660, 0.108)
Si (0.378, 0.387, 0.345)



6.
# ThPaAl

A relaxed ThPaAl crystal (PBE-GGA, Alexandria via LeMat-Bulk).

Results
Excess energy over the best structure of this formula in the dataset = 0.080 eV per atom
Total energy = -6.767 eV per atom
DFT formation energy = 0.357 eV per formula unit

Cell lengths 5.1399, 5.1399, 3.2791 Å; angles 90.00, 90.00, 120.00 degrees
Space group P3m1 (No. 156)
Inequivalent atoms, fractional coordinates:
Th (0.0000, 0.0000, 0.0000)
Pa (0.3333, 0.6667, 0.5901)
Al (0.6667, 0.3333, 0.3073)



Which value of total energy does entry 1 give? -6.976 eV per atom